# 1
# RbMoP2O7 (meta-GGA SCAN, single point on PBEsol structure)
# Raw formation energy: -2.382 eV per atom
# Total DFT energy (no corrections): -13.2951 eV/atom
# Space group: P2_1/c, No. 14
data_RbMoP2O7
_chemical_formula_sum 'Rb4 Mo4 P8 O28'
_symmetry_space_group_name_H-M 'P 1'
_symmetry_Int_Tables_number 1
_cell_length_a 7.5224
_cell_length_b 8.4353
_cell_length_c 10.3731
_cell_angle_alpha 90.00
_cell_angle_beta 90.00
_cell_angle_gamma 106.20
loop_
_symmetry_equiv_pos_as_xyz
'x,y,z'
loop_
_atom_site_label
_atom_site_type_symbol
_atom_site_fract_x
_atom_site_fract_y
_atom_site_fract_z
O1 O 0.6652 0.6869 0.5640
O2 O 0.3348 0.3131 0.4360
O3 O 0.3212 0.5180 0.1040
O4 O 0.9205 0.7475 0.7339
O5 O 0.3665 0.2629 0.9197
O6 O 0.6335 0.2371 0.4197
O7 O 0.5493 0.7628 0.7796
O8 O 0.1384 0.0082 0.0939
O9 O 0.8616 0.4918 0.5939
O10 O 0.3212 0.0180 0.3960
O11 O 0.4507 0.7372 0.2796
O12 O 0.9997 0.2215 0.4994
O13 O 0.1384 0.5082 0.4061
O14 O 0.0003 0.7785 0.5006
O15 O 0.9997 0.7215 0.0006
O16 O 0.6652 0.1869 0.9360
O17 O 0.6788 0.4820 0.8960
O18 O 0.9205 0.2475 0.7661
O19 O 0.0795 0.2525 0.2661
O20 O 0.0795 0.7525 0.2339
O21 O 0.6788 0.9820 0.6040
O22 O 0.5493 0.2628 0.7204
O23 O 0.4507 0.2372 0.2204
O24 O 0.3348 0.8131 0.0640
O25 O 0.6335 0.7371 0.0803
O26 O 0.3665 0.7629 0.5803
O27 O 0.0003 0.2785 0.9994
O28 O 0.8616 0.9918 0.9061
Rb1 Rb 0.1835 0.0559 0.6782
Rb2 Rb 0.1835 0.5559 0.8218
Rb3 Rb 0.8165 0.4441 0.1782
Rb4 Rb 0.8165 0.9441 0.3218
Mo1 Mo 0.2359 0.2603 0.0997
Mo2 Mo 0.2359 0.7603 0.4003
Mo3 Mo 0.7641 0.2397 0.5997
Mo4 Mo 0.7641 0.7397 0.9003
P1 P 0.5620 0.8084 0.6359
P2 P 0.1308 0.8286 0.0996
P3 P 0.1308 0.3286 0.4004
P4 P 0.4380 0.1916 0.3641
P5 P 0.5620 0.3084 0.8641
P6 P 0.8692 0.1714 0.9004
P7 P 0.4380 0.6916 0.1359
P8 P 0.8692 0.6714 0.5996

=====

# 2
# Rb4Mo5P2O22 (meta-GGA SCAN, single point on PBEsol structure)
# Raw formation energy: -2.311 eV per atom
# Total DFT energy (no corrections): -14.8950 eV/atom
# Space group: C222_1, No. 20
data_Rb4Mo5P2O22
_chemical_formula_sum 'Rb8 Mo10 P4 O44'
_symmetry_space_group_name_H-M 'P 1'
_symmetry_Int_Tables_number 1
_cell_length_a 6.5213
_cell_length_b 10.4471
_cell_length_c 17.5091
_cell_angle_alpha 90.00
_cell_angle_beta 90.00
_cell_angle_gamma 108.19
loop_
_symmetry_equiv_pos_as_xyz
'x,y,z'
loop_
_atom_site_label
_atom_site_type_symbol
_atom_site_fract_x
_atom_site_fract_y
_atom_site_fract_z
Mo1 Mo 0.7123 0.2825 0.9063
Mo2 Mo 0.2616 0.5232 0.2500
Mo3 Mo 0.2877 0.7175 0.4063
Mo4 Mo 0.7384 0.4768 0.7500
Mo5 Mo 0.5233 0.0434 0.3560
Mo6 Mo 0.4799 0.9566 0.6440
Mo7 Mo 0.4767 0.9566 0.8560
Mo8 Mo 0.5201 0.0434 0.1440
Mo9 Mo 0.5702 0.2825 0.5937
Mo10 Mo 0.4298 0.7175 0.0937
O1 O 0.4497 0.5795 0.1646
O2 O 0.5431 0.0863 0.2500
O3 O 0.1253 0.2507 0.7500
O4 O 0.2417 0.8487 0.3113
O5 O 0.5503 0.4205 0.6646
O6 O 0.6508 0.7186 0.0409
O7 O 0.4161 0.1617 0.1077
O8 O 0.4122 0.6250 0.4593
O9 O 0.6852 0.8986 0.8816
O10 O 0.5193 0.1054 0.9244
O11 O 0.5180 0.6983 0.3074
O12 O 0.9661 0.5849 0.7092
O13 O 0.2544 0.8383 0.8923
O14 O 0.8747 0.7493 0.2500
O15 O 0.8197 0.3017 0.6926
O16 O 0.1679 0.9390 0.1848
O17 O 0.3930 0.1513 0.6887
O18 O 0.2134 0.8986 0.6184
O19 O 0.5839 0.8383 0.6077
O20 O 0.3148 0.1014 0.3816
O21 O 0.6188 0.5849 0.7908
O22 O 0.3812 0.4151 0.2908
O23 O 0.5860 0.1054 0.5756
O24 O 0.7711 0.9390 0.3152
O25 O 0.7872 0.3750 0.5407
O26 O 0.3492 0.2814 0.5409
O27 O 0.8321 0.0610 0.6848
O28 O 0.1803 0.6983 0.1926
O29 O 0.0339 0.4151 0.2092
O30 O 0.8702 0.4205 0.8354
O31 O 0.4569 0.9137 0.7500
O32 O 0.7456 0.1617 0.3923
O33 O 0.1298 0.5795 0.3354
O34 O 0.4820 0.3017 0.8074
O35 O 0.4807 0.8946 0.4244
O36 O 0.9322 0.2814 0.9591
O37 O 0.6070 0.8487 0.1887
O38 O 0.5878 0.3750 0.9593
O39 O 0.7866 0.1014 0.1184
O40 O 0.2289 0.0610 0.8152
O41 O 0.2128 0.6250 0.0407
O42 O 0.4140 0.8946 0.0756
O43 O 0.7583 0.1513 0.8113
O44 O 0.0678 0.7186 0.4591
Rb1 Rb 0.9578 0.0000 0.5000
Rb2 Rb 0.2981 0.5215 0.9023
Rb3 Rb 0.7019 0.4785 0.4023
Rb4 Rb 0.9176 0.8352 0.7500
Rb5 Rb 0.2234 0.5215 0.5977
Rb6 Rb 0.0824 0.1648 0.2500
Rb7 Rb 0.0422 0.0000 0.0000
Rb8 Rb 0.7766 0.4785 0.0977
P1 P 0.8720 0.1856 0.7334
P2 P 0.1280 0.8144 0.2334
P3 P 0.6864 0.8144 0.2666
P4 P 0.3136 0.1856 0.7666

=====

# 3
# RbMo3P2O14 (meta-GGA SCAN, single point on PBEsol structure)
# Raw formation energy: -2.286 eV per atom
# Total DFT energy (no corrections): -13.9577 eV/atom
# Space group: P2_1/m, No. 11
data_RbMo3P2O14
_chemical_formula_sum 'Rb2 Mo6 P4 O28'
_symmetry_space_group_name_H-M 'P 1'
_symmetry_Int_Tables_number 1
_cell_length_a 6.4028
_cell_length_b 9.0904
_cell_length_c 10.6580
_cell_angle_alpha 110.92
_cell_angle_beta 90.00
_cell_angle_gamma 90.00
loop_
_symmetry_equiv_pos_as_xyz
'x,y,z'
loop_
_atom_site_label
_atom_site_type_symbol
_atom_site_fract_x
_atom_site_fract_y
_atom_site_fract_z
O1 O 0.7500 0.1043 0.0366
O2 O 0.7500 0.1677 0.3057
O3 O 0.0585 0.2939 0.4787
O4 O 0.7500 0.4353 0.1136
O5 O 0.2500 0.4562 0.0860
O6 O 0.9415 0.7061 0.5213
O7 O 0.2500 0.8711 0.4492
O8 O 0.4415 0.2939 0.4787
O9 O 0.2500 0.2998 0.6857
O10 O 0.9404 0.7111 0.8036
O11 O 0.7500 0.4620 0.6634
O12 O 0.2500 0.5380 0.3366
O13 O 0.4645 0.2390 0.8777
O14 O 0.2500 0.8323 0.6943
O15 O 0.5596 0.7111 0.8036
O16 O 0.4404 0.2889 0.1964
O17 O 0.7500 0.5438 0.9140
O18 O 0.2500 0.5647 0.8864
O19 O 0.9645 0.7610 0.1223
O20 O 0.7500 0.1289 0.5508
O21 O 0.0596 0.2889 0.1964
O22 O 0.0355 0.2390 0.8777
O23 O 0.7500 0.7002 0.3143
O24 O 0.2500 0.5415 0.6171
O25 O 0.5585 0.7061 0.5213
O26 O 0.5355 0.7610 0.1223
O27 O 0.2500 0.8957 0.9634
O28 O 0.7500 0.4585 0.3829
Rb1 Rb 0.7500 0.9888 0.7534
Rb2 Rb 0.2500 0.0112 0.2466
Mo1 Mo 0.7500 0.2669 0.1746
Mo2 Mo 0.2500 0.7331 0.8254
Mo3 Mo 0.7500 0.6489 0.1149
Mo4 Mo 0.7500 0.2753 0.4909
Mo5 Mo 0.2500 0.3511 0.8851
Mo6 Mo 0.2500 0.7247 0.5091
P1 P 0.7500 0.6045 0.7957
P2 P 0.2500 0.3610 0.5694
P3 P 0.7500 0.6390 0.4306
P4 P 0.2500 0.3955 0.2043

=====

# 4
# Rb2TeMo2P2O14 (meta-GGA SCAN, single point on PBEsol structure)
# Raw formation energy: -2.192 eV per atom
# Total DFT energy (no corrections): -14.4083 eV/atom
# Space group: Pbcn, No. 60
data_Rb2TeMo2P2O14
_chemical_formula_sum 'Rb8 Te4 Mo8 P8 O56'
_symmetry_space_group_name_H-M 'P 1'
_symmetry_Int_Tables_number 1
_cell_length_a 8.9488
_cell_length_b 11.2667
_cell_length_c 12.5396
_cell_angle_alpha 90.00
_cell_angle_beta 90.00
_cell_angle_gamma 90.00
loop_
_symmetry_equiv_pos_as_xyz
'x,y,z'
loop_
_atom_site_label
_atom_site_type_symbol
_atom_site_fract_x
_atom_site_fract_y
_atom_site_fract_z
P1 P 0.6389 0.9950 0.3690
P2 P 0.1389 0.5050 0.8690
P3 P 0.6389 0.5050 0.6310
P4 P 0.3611 0.4950 0.3690
P5 P 0.3611 0.0050 0.6310
P6 P 0.8611 0.0050 0.8690
P7 P 0.1389 0.9950 0.1310
P8 P 0.8611 0.4950 0.1310
Rb1 Rb 0.9697 0.7189 0.6877
Rb2 Rb 0.4697 0.7811 0.1877
Rb3 Rb 0.4697 0.7189 0.8123
Rb4 Rb 0.0303 0.2811 0.3123
Rb5 Rb 0.9697 0.7811 0.3123
Rb6 Rb 0.0303 0.2189 0.6877
Rb7 Rb 0.5303 0.2189 0.8123
Rb8 Rb 0.5303 0.2811 0.1877
O1 O 0.8125 0.3487 0.8372
O2 O 0.7252 0.9479 0.2701
O3 O 0.5221 0.0515 0.6310
O4 O 0.0553 0.4571 0.6162
O5 O 0.2801 0.0554 0.5318
O6 O 0.7748 0.0521 0.7701
O7 O 0.2310 0.8438 0.4285
O8 O 0.8532 0.8675 0.8682
O9 O 0.4447 0.5429 0.1162
O10 O 0.2252 0.9479 0.2299
O11 O 0.3532 0.6325 0.3682
O12 O 0.2199 0.5554 0.9682
O13 O 0.7801 0.0554 0.9682
O14 O 0.1875 0.6513 0.1628
O15 O 0.6875 0.6513 0.3372
O16 O 0.6468 0.3675 0.6318
O17 O 0.7690 0.1562 0.5715
O18 O 0.2748 0.4479 0.2701
O19 O 0.1468 0.1325 0.1318
O20 O 0.8532 0.6325 0.1318
O21 O 0.2310 0.6562 0.5715
O22 O 0.2690 0.3438 0.0715
O23 O 0.4779 0.9485 0.3690
O24 O 0.2801 0.4446 0.4682
O25 O 0.6468 0.1325 0.3682
O26 O 0.3125 0.1513 0.3372
O27 O 0.0221 0.0515 0.8690
O28 O 0.4447 0.9571 0.8838
O29 O 0.6875 0.8487 0.6628
O30 O 0.4779 0.5515 0.6310
O31 O 0.1875 0.8487 0.8372
O32 O 0.0221 0.4485 0.1310
O33 O 0.9447 0.5429 0.3838
O34 O 0.9779 0.9485 0.1310
O35 O 0.5553 0.4571 0.8838
O36 O 0.0553 0.0429 0.3838
O37 O 0.1468 0.3675 0.8682
O38 O 0.7310 0.6562 0.9285
O39 O 0.3532 0.8675 0.6318
O40 O 0.7252 0.5521 0.7299
O41 O 0.9779 0.5515 0.8690
O42 O 0.2748 0.0521 0.7299
O43 O 0.7690 0.3438 0.4285
O44 O 0.2690 0.1562 0.9285
O45 O 0.2199 0.9446 0.0318
O46 O 0.7310 0.8438 0.0715
O47 O 0.8125 0.1513 0.1628
O48 O 0.5221 0.4485 0.3690
O49 O 0.7801 0.4446 0.0318
O50 O 0.7199 0.9446 0.4682
O51 O 0.5553 0.0429 0.1162
O52 O 0.9447 0.9571 0.6162
O53 O 0.3125 0.3487 0.6628
O54 O 0.7748 0.4479 0.2299
O55 O 0.7199 0.5554 0.5318
O56 O 0.2252 0.5521 0.7701
Mo1 Mo 0.2427 0.4822 0.6206
Mo2 Mo 0.2573 0.5178 0.1206
Mo3 Mo 0.7427 0.0178 0.1206
Mo4 Mo 0.2573 0.9822 0.8794
Mo5 Mo 0.2427 0.0178 0.3794
Mo6 Mo 0.7573 0.5178 0.3794
Mo7 Mo 0.7573 0.9822 0.6206
Mo8 Mo 0.7427 0.4822 0.8794
Te1 Te 0.3735 0.7500 0.5000
Te2 Te 0.1265 0.2500 0.0000
Te3 Te 0.8735 0.7500 0.0000
Te4 Te 0.6265 0.2500 0.5000

=====

# 5
# MoPS2O (meta-GGA SCAN, single point on PBEsol structure)
# Raw formation energy: 0.801 eV per atom
# Total DFT energy (no corrections): -13.3535 eV/atom
# Space group: P4/mmm, No. 123
data_MoPS2O
_chemical_formula_sum 'Mo1 P1 S2 O1'
_symmetry_space_group_name_H-M 'P 1'
_symmetry_Int_Tables_number 1
_cell_length_a 3.8366
_cell_length_b 4.1510
_cell_length_c 4.1510
_cell_angle_alpha 90.00
_cell_angle_beta 90.00
_cell_angle_gamma 90.00
loop_
_symmetry_equiv_pos_as_xyz
'x,y,z'
loop_
_atom_site_label
_atom_site_type_symbol
_atom_site_fract_x
_atom_site_fract_y
_atom_site_fract_z
S1 S 0.0000 0.5000 0.0000
S2 S 0.0000 0.0000 0.5000
O1 O 0.0000 0.0000 0.0000
Mo1 Mo 0.5000 0.5000 0.5000
P1 P 0.5000 0.0000 0.0000

=====

# 6
# ScMoP2O (meta-GGA SCAN, single point on PBEsol structure)
# Raw formation energy: 0.044 eV per atom
# Total DFT energy (no corrections): -15.1863 eV/atom
# Space group: P4/mmm, No. 123
data_ScMoP2O
_chemical_formula_sum 'Sc1 Mo1 P2 O1'
_symmetry_space_group_name_H-M 'P 1'
_symmetry_Int_Tables_number 1
_cell_length_a 3.7389
_cell_length_b 4.8927
_cell_length_c 4.8927
_cell_angle_alpha 90.00
_cell_angle_beta 90.00
_cell_angle_gamma 90.00
loop_
_symmetry_equiv_pos_as_xyz
'x,y,z'
loop_
_atom_site_label
_atom_site_type_symbol
_atom_site_fract_x
_atom_site_fract_y
_atom_site_fract_z
P1 P 0.0000 0.0000 0.5000
P2 P 0.0000 0.5000 0.0000
Sc1 Sc 0.0000 0.0000 0.0000
Mo1 Mo 0.5000 0.5000 0.5000
O1 O 0.5000 0.0000 0.0000

=====

# 7
# SrMo3P2O14 (meta-GGA SCAN, single point on PBEsol structure)
# Raw formation energy: -2.432 eV per atom
# Total DFT energy (no corrections): -14.1802 eV/atom
# Space group: P2_1/m, No. 11
data_SrMo3P2O14
_chemical_formula_sum 'Sr2 Mo6 P4 O28'
_symmetry_space_group_name_H-M 'P 1'
_symmetry_Int_Tables_number 1
_cell_length_a 6.4393
_cell_length_b 8.3022
_cell_length_c 10.6202
_cell_angle_alpha 112.92
_cell_angle_beta 90.00
_cell_angle_gamma 90.00
loop_
_symmetry_equiv_pos_as_xyz
'x,y,z'
loop_
_atom_site_label
_atom_site_type_symbol
_atom_site_fract_x
_atom_site_fract_y
_atom_site_fract_z
O1 O 0.2500 0.2260 0.8258
O2 O 0.9367 0.7605 0.6917
O3 O 0.0633 0.2395 0.3083
O4 O 0.0627 0.2361 0.0354
O5 O 0.2500 0.9383 0.6174
O6 O 0.7500 0.0617 0.3826
O7 O 0.4715 0.2867 0.6410
O8 O 0.2500 0.0588 0.4208
O9 O 0.7500 0.4309 0.4840
O10 O 0.4367 0.2395 0.3083
O11 O 0.7500 0.0411 0.8342
O12 O 0.7500 0.7740 0.1742
O13 O 0.9373 0.7639 0.9646
O14 O 0.5285 0.7133 0.3590
O15 O 0.2500 0.6297 0.7959
O16 O 0.7500 0.9412 0.5792
O17 O 0.7500 0.0443 0.1151
O18 O 0.5633 0.7605 0.6917
O19 O 0.0285 0.2867 0.6410
O20 O 0.2500 0.9589 0.1658
O21 O 0.9715 0.7133 0.3590
O22 O 0.7500 0.4041 0.9476
O23 O 0.4373 0.2361 0.0354
O24 O 0.2500 0.9557 0.8849
O25 O 0.7500 0.3703 0.2041
O26 O 0.2500 0.5691 0.5160
O27 O 0.2500 0.5959 0.0524
O28 O 0.5627 0.7639 0.9646
Mo1 Mo 0.7500 0.2622 0.3309
Mo2 Mo 0.7500 0.2513 0.0152
Mo3 Mo 0.7500 0.8366 0.3767
Mo4 Mo 0.2500 0.7487 0.9848
Mo5 Mo 0.2500 0.7378 0.6691
Mo6 Mo 0.2500 0.1634 0.6233
P1 P 0.2500 0.1567 0.9393
P2 P 0.7500 0.8815 0.7000
P3 P 0.2500 0.1185 0.3000
P4 P 0.7500 0.8433 0.0607
Sr1 Sr 0.7500 0.5122 0.7464
Sr2 Sr 0.2500 0.4878 0.2536

=====

# 8
# TcMoPO2 (meta-GGA SCAN, single point on PBEsol structure)
# Raw formation energy: -0.413 eV per atom
# Total DFT energy (no corrections): -18.9741 eV/atom
# Space group: P4/mmm, No. 123
data_TcMoPO2
_chemical_formula_sum 'Tc1 Mo1 P1 O2'
_symmetry_space_group_name_H-M 'P 1'
_symmetry_Int_Tables_number 1
_cell_length_a 3.6745
_cell_length_b 3.6745
_cell_length_c 5.2463
_cell_angle_alpha 90.00
_cell_angle_beta 90.00
_cell_angle_gamma 90.00
loop_
_symmetry_equiv_pos_as_xyz
'x,y,z'
loop_
_atom_site_label
_atom_site_type_symbol
_atom_site_fract_x
_atom_site_fract_y
_atom_site_fract_z
Mo1 Mo 0.5000 0.5000 0.5000
O1 O 0.5000 0.0000 0.0000
O2 O 0.0000 0.5000 0.0000
Tc1 Tc 0.0000 0.0000 0.0000
P1 P 0.0000 0.0000 0.5000